[1]
BeCrRu2 | PBE-GGA | optimized geometry

a b c (Å): 5.8652 5.8652 5.8652
angles (deg): 90.00 90.00 90.00
Space group F-43m (No. 216)
Symmetry-distinct sites (fractional):
Be 0.0000 0.0000 0.0000 x4
Cr 0.2500 0.2500 0.7500 x4
Ru 0.0000 0.0000 0.5000 x4
Ru 0.2500 0.2500 0.2500 x4

Properties
Calculated formation energy: 0.98 eV per formula unit
Density of states at the Fermi level: 1.548 states/eV/atom

[2]
Cd2C | PBE-GGA | optimized geometry

a b c (Å): 5.9675 5.9675 5.2603
angles (deg): 90.00 90.00 120.00
Space group P-31m (No. 162)
Symmetry-distinct sites (fractional):
Cd 0.0000 0.3240 0.2590 x6
C 0.0000 0.0000 0.0000 x1
C 0.3333 0.6667 0.5000 x2

Properties
Calculated formation energy: 3.29 eV per formula unit
Density of states at the Fermi level: 0.265 states/eV/atom
Offset from the most stable computed form: 0.354 eV/atom

[3]
InSb2Pb | PBE-GGA | optimized geometry

a b c (Å): 4.2061 4.2061 6.6150
angles (deg): 90.00 90.00 90.00
Space group P4/mmm (No. 123)
Symmetry-distinct sites (fractional):
In 0.0000 0.0000 0.0000 x1
Sb 0.5000 0.5000 0.2281 x2
Pb 0.0000 0.0000 0.5000 x1

Properties
Density of states at the Fermi level: 0.647 states/eV/atom
Offset from the most stable computed form: 0.049 eV/atom
Energy relative to the elements, uncorrected: 0.10 eV per atom

[4]
NaZnSnO4 | PBE-GGA | optimized geometry

a b c (Å): 5.9579 6.5465 9.1524
angles (deg): 90.00 90.00 90.00
Space group Imma (No. 74)
Symmetry-distinct sites (fractional):
Na 0.2500 0.2500 0.2500 x4
Zn 0.0000 0.2500 0.6401 x4
Sn 0.0000 0.0000 0.0000 x4
O 0.0000 0.0110 0.7726 x8
O 0.2324 0.2500 0.9975 x8

Properties
Density of states at the Fermi level: 0.559 states/eV/atom
Energy relative to the elements, uncorrected: -1.30 eV per atom

[5]
CaPr2ThP4 | PBE-GGA | optimized geometry

a b c (Å): 7.2151 4.1958 7.2470
angles (deg): 90.00 109.26 90.00
Space group P2/m (No. 10)
Symmetry-distinct sites (fractional):
Ca 0.0000 0.0000 0.0000 x1
Pr 0.0000 0.5000 0.5000 x1
Pr 0.5000 0.0000 0.5000 x1
Th 0.5000 0.5000 0.0000 x1
P 0.2554 0.0000 0.7555 x2
P 0.2553 0.5000 0.2471 x2

Properties
Calculated formation energy: -11.49 eV per formula unit
Density of states at the Fermi level: 0.133 states/eV/atom

[6]
HgMo2Ru | PBE-GGA | optimized geometry

a b c (Å): 3.8808 3.8808 8.6179
angles (deg): 90.00 90.00 90.00
Space group I4/mmm (No. 139)
Symmetry-distinct sites (fractional):
Hg 0.0000 0.0000 0.0000 x2
Mo 0.0000 0.5000 0.2500 x4
Ru 0.0000 0.0000 0.5000 x2

Properties
Calculated formation energy: 1.82 eV per formula unit
Density of states at the Fermi level: 1.463 states/eV/atom

[7]
LaIn3Au3 | PBE-GGA | optimized geometry

a b c (Å): 8.6916 8.6916 17.3183
angles (deg): 90.00 90.00 120.00
Space group R-3 (No. 148, hexagonal axes)
Symmetry-distinct sites (fractional):
La 0.0000 0.0000 0.1653 x6
In 0.0016 0.7035 0.5955 x18
Au 0.0008 0.6496 0.4209 x18

Properties
Calculated formation energy: -2.80 eV per formula unit
Density of states at the Fermi level: 0.420 states/eV/atom
Offset from the most stable computed form: 0.028 eV/atom

[8]
Li6ZrBeF12 | PBE-GGA | optimized geometry

a b c (Å): 6.6729 6.6729 18.7672
angles (deg): 90.00 90.00 90.00
Space group I4_1/amd (No. 141, origin choice 2)
Symmetry-distinct sites (fractional):
Li 0.0000 0.2500 0.1034 x8
Li 0.2321 0.0000 0.0000 x16
Zr 0.0000 0.2500 0.3750 x4
Be 0.0000 0.2500 0.8750 x4
F 0.0000 0.0193 0.2910 x16
F 0.0000 0.0342 0.5773 x16
F 0.0000 0.0590 0.9253 x16

Properties
Density of states at the Fermi level: 0.000 states/eV/atom
Energy relative to the elements, uncorrected: -3.20 eV per atom